(1)
Nd2ScSi3Rh4, optimized geometry, DFT PBE; space-group type = P-4m2 (115); E_tot = -7.177 eV/atom; total moment = 0.0 μB/cell; mass density = 7598 kg/m³; uncorrected formation energy = -1.02 eV/atom
1.0
4.130 0.000 0.000
0.000 4.130 0.000
0.000 0.000 10.623
Nd Sc Si Rh
2 1 3 4
Cartesian
2.065 0.000 2.537
0.000 2.065 8.087
2.065 2.065 5.312
0.000 0.000 5.312
2.065 0.000 9.339
0.000 2.065 1.284
2.065 2.065 0.000
0.000 0.000 0.000
2.065 0.000 6.897
0.000 2.065 3.727

(2)
AsF2, optimized geometry, DFT PBE; space-group type = P2_1/m (11); E_tot = -4.432 eV/atom; total moment = 0.0 μB/cell; mass density = 3758 kg/m³; uncorrected formation energy = -1.63 eV/atom
1.0
2.833 0.000 -0.479
0.000 4.192 0.000
-1.182 0.000 8.605
As F
2 4
Cartesian
0.548 3.144 6.722
1.102 1.048 1.404
1.081 3.144 1.252
1.389 1.048 3.128
0.262 3.144 4.997
0.569 1.048 6.873

(3)
Eu3RhO, optimized geometry, DFT PBE; space-group type = Pm-3m (221); E_tot = -9.809 eV/atom; total moment = 21.5 μB/cell; mass density = 8178 kg/m³; uncorrected formation energy = -1.18 eV/atom
1.0
4.887 0.000 0.000
0.000 4.887 0.000
0.000 0.000 4.887
Eu Rh O
3 1 1
Cartesian
0.000 2.443 0.000
0.000 0.000 2.443
2.443 0.000 0.000
2.443 2.443 2.443
0.000 0.000 0.000

(4)
ReHAu3, optimized geometry, DFT PBE; space-group type = Pm-3m (221); E_tot = -3.462 eV/atom; E above lowest polymorph = 76.86 kJ per mole of atoms; total moment = 1.0 μB/cell; mass density = 10002 kg/m³
1.0
5.055 0.000 0.000
0.000 5.055 0.000
0.000 0.000 5.055
Re Au H
1 3 1
Cartesian
0.000 0.000 0.000
0.000 2.528 0.000
0.000 0.000 2.528
2.528 0.000 0.000
2.528 2.528 2.528

(5)
ErLu2Zn, optimized geometry, DFT PBE; space-group type = R-3m (166); E_tot = -3.785 eV/atom; E above lowest polymorph = 9.64 kJ per mole of atoms; total moment = 0.0 μB/cell; mass density = 9099 kg/m³
1.0
3.482 0.000 0.000
1.741 3.015 0.000
1.741 1.005 10.128
Zn Lu Er
1 2 1
Cartesian
0.000 0.000 0.000
1.741 1.005 2.216
5.222 3.015 7.912
3.482 2.010 5.064

(6)
K2BaGa, optimized geometry, DFT PBE; space-group type = I-42d (122); E_tot = -1.615 eV/atom; total moment = 1.4 μB/cell; mass density = 2458 kg/m³
1.0
-3.570 -0.644 -3.723
0.943 -5.112 -0.020
-11.353 -4.769 8.085
K Ba Ga
4 2 2
Cartesian
-4.847 -2.215 -0.198
-2.801 -4.487 1.433
-9.472 -5.886 4.659
-10.842 -8.463 2.789
0.000 0.000 0.000
-8.119 -4.146 1.245
-1.314 -2.878 -1.871
-5.862 -6.380 3.096

(7)
LiPmGe2Os, optimized geometry, DFT PBE; space-group type = I-4m2 (119); E_tot = -5.852 eV/atom; total moment = 0.0 μB/cell; mass density = 8734 kg/m³
1.0
4.210 0.000 0.000
0.000 4.210 0.000
-2.105 -2.105 5.229
Li Pm Ge Os
1 1 2 1
Cartesian
0.000 2.105 2.614
0.000 0.000 0.000
2.105 2.105 1.323
0.000 0.000 3.906
2.105 0.000 2.614

(8)
Cs2CaAuBr6, optimized geometry, DFT PBE; space-group type = I4/mmm (139); E_tot = -3.028 eV/atom; total moment = 0.7 μB/cell; mass density = 4308 kg/m³; uncorrected formation energy = -1.33 eV/atom
1.0
7.812 0.000 0.000
0.000 7.814 0.000
3.906 3.907 6.203
Cs Ca Au Br
2 1 1 6
Cartesian
7.812 3.907 3.100
3.906 7.814 3.103
0.000 0.000 0.000
3.906 3.907 0.000
3.906 3.906 3.392
5.744 5.742 0.000
2.071 5.745 0.000
9.647 5.976 6.203
5.974 5.978 6.202
7.812 7.814 2.810

(9)
CsRbZnGeOs, optimized geometry, DFT PBE; space-group type = Cm (8); E_tot = -3.283 eV/atom; E above lowest polymorph = 26.37 kJ per mole of atoms; total moment = 0.0 μB/cell; mass density = 4680 kg/m³
1.0
6.598 0.000 0.002
0.000 4.770 0.000
-4.019 0.000 12.324
Cs Ge Os Zn Rb
2 2 2 2 2
Cartesian
4.801 0.000 4.380
2.792 2.385 10.543
-0.412 0.000 10.988
1.598 2.385 4.826
4.764 0.000 0.568
2.755 2.385 6.730
2.349 0.000 7.174
4.358 2.385 1.012
1.509 0.000 1.782
-0.500 2.385 7.944

(10)
La2PrY2Ho2, optimized geometry, DFT PBE; space-group type = C2/m (12); E_tot = -5.217 eV/atom; total moment = 0.0 μB/cell; mass density = 6487 kg/m³
1.0
5.124 0.000 0.000
-2.562 5.726 0.267
0.000 -1.535 8.010
La Pr Y Ho
2 1 2 2
Cartesian
0.000 0.962 3.501
2.562 3.230 4.777
0.000 0.000 0.000
2.562 2.256 1.235
0.000 1.935 7.042
2.562 -0.287 5.776
0.000 4.479 2.501

(11)
Ni4MoPt5, optimized geometry, DFT PBE; space-group type = P4/mmm (123); E_tot = -6.573 eV/atom; total moment = 3.7 μB/cell; mass density = 15653 kg/m³
1.0
-0.934 -0.983 -2.370
2.528 -0.784 -0.671
-2.985 -16.495 8.021
Ni Mo Pt
4 1 5
Cartesian
-0.622 -3.440 1.673
-1.201 -6.636 3.227
-1.784 -9.859 4.794
-2.362 -13.055 6.348
0.000 0.000 0.000
0.477 -2.651 -0.661
-0.113 -5.916 0.926
-0.695 -9.131 2.490
-1.277 -12.347 4.054
-1.868 -15.611 5.641

(12)
TaV2Mo8, optimized geometry, DFT PBE; space-group type = P-1 (2); E_tot = -10.722 eV/atom; total moment = 0.0 μB/cell; mass density = 10159 kg/m³
1.0
-3.957 -0.379 5.811
5.985 -3.107 1.310
0.764 4.287 -0.896
Ta V Mo
1 2 8
Cartesian
0.000 0.000 0.000
2.671 0.258 3.529
0.121 0.542 2.696
1.717 2.281 1.354
-0.739 3.090 3.115
5.121 -0.548 1.788
-2.328 1.348 4.437
3.532 -2.290 3.111
1.075 -1.480 4.871
0.218 1.073 5.317
2.574 -0.273 0.909